YSnW2O8 | Alexandria via LeMat-Bulk | PBE+U | relaxed; SG = P1 (1); ΔE to the lowest computed polymorph = 0.0065 eV per atom; calculated volume = 178.0 Å³ per cell; E_tot = -7.561 eV/atom; M_tot = 1.00 μB per formula unit
1.0
5.1587 0.0137 -0.0360
0.2604 6.4123 -0.0001
-2.2348 -3.0023 5.3951
Y O Sn W
1 8 1 2
Cartesian
2.0093 1.4926 0.3775
1.7380 -1.3726 4.5604
3.3089 4.8723 2.0829
1.6200 1.3121 4.2726
3.4379 1.2687 2.1181
-0.4162 3.1405 4.4146
0.5801 2.7882 1.6612
0.9605 0.2037 2.1245
-0.9998 0.1149 4.2902
-0.0655 4.7393 0.8255
-0.0943 1.7657 3.2199
2.4671 -0.2702 3.2930